NbMoN2F: optimized geometry, PBE+U.

a = 4.122 Å, b = 4.122 Å, c = 4.053 Å
α = 90.00°, β = 90.00°, γ = 90.00°
Atoms (fractional coordinates):
Nb 0.000 0.000 0.000
Mo 0.500 0.500 0.500
N 0.000 0.500 0.000
N 0.500 0.000 0.000
F 0.000 0.000 0.500

- D(E_F): 1.83 states/eV/cell
- Calculated total energy: -0.271 Ha/atom